[1]
## Mg5AlAu (PBE-GGA)

Data for crystalline Mg5AlAu at its relaxed geometry.

Structure (extended XYZ):
```
14
Lattice="6.710 1.397 -0.521 3.454 5.920 -0.521 2.379 1.713 8.725" Properties=species:S:1:pos:R:3 pbc="T T T"
Al 6.045 6.084 6.023
Al 6.498 2.946 1.660
Mg 5.254 3.347 4.219
Mg 8.892 5.966 7.826
Mg 2.740 2.468 2.713
Mg 7.289 5.684 3.464
Mg 4.888 5.183 1.660
Mg 3.651 3.064 -0.143
Mg 8.144 6.359 0.607
Mg 9.803 6.562 4.969
Mg 7.655 3.848 6.023
Mg 4.399 2.672 7.076
Au 1.190 0.857 4.362
Au 0.000 0.000 0.000
```

Results
D(E_F) = 0.398 states/eV per atom
total energy = -2.230 eV per atom

---

[2]
## Mg3Al2Au4 (PBE-GGA)

Data for crystalline Mg3Al2Au4 at its relaxed geometry.

Structure (extended XYZ):
```
9
Lattice="-2.018 3.391 2.115 -1.730 -0.651 -5.344 -2.597 -5.303 6.024" Properties=species:S:1:pos:R:3 pbc="T T T"
Mg -3.632 -1.617 3.865
Mg -2.713 -0.947 -1.070
Mg 0.000 0.000 0.000
Al -3.810 -2.916 1.041
Al -2.535 0.352 1.755
Au -2.283 1.790 -0.309
Au -4.968 -0.641 1.025
Au -4.062 -4.354 3.105
Au -1.376 -1.923 1.770
```

Results
D(E_F) = 0.232 states/eV per atom
total energy = -3.306 eV per atom

---

[3]
## MgAlAu (PBE-GGA)

Data for crystalline MgAlAu at its relaxed geometry.

Structure (extended XYZ):
```
6
Lattice="4.461 0.009 0.021 2.237 3.934 0.024 2.239 -0.077 6.698" Properties=species:S:1:pos:R:3 pbc="T T T"
Au 4.476 2.593 4.785
Au 4.460 1.273 1.958
Mg 6.701 1.281 5.848
Mg 2.235 2.585 0.894
Al 4.471 -0.009 4.307
Al 4.465 3.875 2.435
```

Results
D(E_F) = 0.270 states/eV per atom
total energy = -3.318 eV per atom

---

[4]
## MgAlAu14 (PBE-GGA)

Data for crystalline MgAlAu14 at its relaxed geometry.

Structure (extended XYZ):
```
16
Lattice="5.978 -0.015 0.000 0.010 5.978 0.000 0.000 0.000 7.971" Properties=species:S:1:pos:R:3 pbc="T T T"
Au 0.767 3.721 5.925
Au 3.724 0.751 5.925
Au 0.767 3.721 2.046
Au 5.239 5.217 0.000
Au 2.251 5.225 0.000
Au 2.251 5.225 3.986
Au 0.763 0.760 2.047
Au 5.234 2.228 0.000
Au 2.245 2.236 0.000
Au 0.763 0.760 5.924
Au 3.728 3.712 5.924
Au 5.234 2.228 3.986
Au 3.728 3.712 2.047
Au 3.724 0.751 2.046
Mg 5.239 5.217 3.986
Al 2.245 2.236 3.986
```

Results
D(E_F) = 0.350 states/eV per atom
total energy = -3.349 eV per atom

---

[5]
## Mg2AlAu4 (PBE-GGA)

Data for crystalline Mg2AlAu4 at its relaxed geometry.

Structure (extended XYZ):
```
7
Lattice="4.835 0.000 0.000 0.000 4.835 0.000 2.418 2.418 6.836" Properties=species:S:1:pos:R:3 pbc="T T T"
Au 0.000 2.418 0.000
Au 2.418 0.000 0.000
Au 4.835 4.835 2.560
Au 2.418 2.418 4.276
Mg 2.418 2.418 1.657
Mg 4.835 4.835 5.179
Al 0.000 0.000 0.000
```

Results
D(E_F) = 0.284 states/eV per atom
total energy = -2.957 eV per atom

---

[6]
## MgAlAu4 (PBE-GGA)

Data for crystalline MgAlAu4 at its relaxed geometry.

Structure (extended XYZ):
```
6
Lattice="-2.634 -1.442 4.610 -5.415 0.858 0.457 -3.474 -4.266 -0.036" Properties=species:S:1:pos:R:3 pbc="T T T"
Mg -8.642 -3.638 3.774
Au -6.058 -3.951 1.869
Au -7.028 -1.390 2.116
Au -4.321 -1.819 1.887
Au -5.638 -2.540 4.192
Al 0.000 0.000 0.000
```

Results
D(E_F) = 0.594 states/eV per atom
total energy = -3.183 eV per atom

---

Calculated energy of formation from the pure elements in order - -8.5, -46.9, -43.0, -14.2, -9.1, -10.4 kJ/mol of atoms